The following is a PBE calculation of an optimized crystal structure of Cs2CdAgBr6, from Alexandria via LeMat-Bulk.

ΔE_f (raw) (eV/atom): -1.04
Size of the total moment (μB per cell): 0.00
Symmetry: I4/mmm
D(E_F) (states/eV/cell): 6.4

Cell: 7.854 7.854 7.854 Å, 119.70 119.70 90.52°
Positions (direct):
Cs1 0.250 0.750 0.500
Cs2 0.750 0.250 0.500
Cd1 0.000 0.000 0.000
Ag1 0.500 0.500 0.000
Br1 0.248 0.248 0.496
Br2 0.248 0.752 0.000
Br3 0.256 0.256 0.000
Br4 0.744 0.744 0.000
Br5 0.752 0.248 0.000
Br6 0.752 0.752 0.504